Record 1
VASP calculation (PBE-GGA) on an optimized crystal structure of SrScMn4.

Computed properties:
VASP energy   -6.96 eV per atom
SG   F-43m, No. 216

a b c (Å): 5.4837 5.4837 5.4837
angles (deg): 60.00 60.00 60.00
Site moments in Bohr magnetons follow the coordinates.
Fractional positions:
Sr 0.0000 0.0000 0.0000  -0.02
Sc 0.7500 0.7500 0.7500  -0.61
Mn 0.8637 0.3788 0.3788  3.30
Mn 0.3788 0.3788 0.8637  3.30
Mn 0.3788 0.8637 0.3788  3.30
Mn 0.3788 0.3788 0.3788  3.30

=====

Record 2
VASP calculation (PBE-GGA) on an optimized crystal structure of MnP2W.

Computed properties:
VASP energy   -8.01 eV per atom
SG   I-42d, No. 122

a b c (Å): 5.3803 5.3803 6.5659
angles (deg): 65.81 65.81 90.00
Site moments in Bohr magnetons follow the coordinates.
Fractional positions:
P 0.6205 0.1250 0.2500  -0.06
P 0.1295 0.6250 0.2500  -0.06
P 0.3750 0.3795 0.7500  -0.06
P 0.8750 0.8705 0.7500  -0.06
Mn 0.5000 0.5000 0.0000  3.07
Mn 0.2500 0.7500 0.5000  3.07
W 0.0000 0.0000 0.0000  0.20
W 0.7500 0.2500 0.5000  0.20

=====

Record 3
VASP calculation (PBE-GGA) on an optimized crystal structure of CsCu3S3.

Computed properties:
VASP energy   -4.12 eV per atom
SG   Pm-3n, No. 223

a b c (Å): 6.5716 6.5716 6.5716
angles (deg): 90.00 90.00 90.00
Fractional positions:
Cs 0.5000 0.5000 0.5000
Cs 0.0000 0.0000 0.0000
S 0.0000 0.2500 0.5000
S 0.0000 0.7500 0.5000
S 0.5000 0.0000 0.7500
S 0.7500 0.5000 0.0000
S 0.5000 0.0000 0.2500
S 0.2500 0.5000 0.0000
Cu 0.2500 0.0000 0.5000
Cu 0.0000 0.5000 0.2500
Cu 0.5000 0.7500 0.0000
Cu 0.7500 0.0000 0.5000
Cu 0.0000 0.5000 0.7500
Cu 0.5000 0.2500 0.0000

=====

Record 4
VASP calculation (PBE-GGA) on an optimized crystal structure of TaHg2Os.

Computed properties:
VASP energy   -5.14 eV per atom
SG   Cmmm, No. 65

a b c (Å): 2.9192 2.9192 10.0323
angles (deg): 90.00 90.00 119.16
Fractional positions:
Hg 0.0000 0.0000 0.0075
Hg 0.0000 0.0000 0.4925
Os 0.5000 0.5000 0.2500
Ta 0.5000 0.5000 0.7500